# MgIn2Au

A relaxed MgIn2Au crystal (PBE-GGA, the Alexandria database).

Values from the calculation:
The density of states at the Fermi level comes out at 1.62 states/eV/f.u. The energy of formation from the pure elements comes out at -0.170 eV/atom. The raw total energy is -2.757 eV per atom.

Cell: 9.1588 9.1588 9.1588 Å, 21.91 21.91 21.91°
With the nearest neighbours (Å) after each atom.
Positions (direct):
Mg  0.0000  0.0000  0.0000  3 Au 2.74
In  0.5194  0.5194  0.5194  3 Au 2.90
In  0.7565  0.7565  0.7565  3 Mg 3.14, 9 In 3.27-3.48
Au  0.2641  0.2641  0.2641  3 Mg 2.74, 3 In 2.90